Entry 1:
A geometry-optimized Ac3PdPb2 structure. Source: Alexandria via LeMat-Bulk, functional GGA-PBE.

Lattice parameters (Å, degrees): 7.8295 7.8295 9.1042 105.44 105.44 51.47
Fractional positions:
Ac1 0.1788 0.8212 0.7500
Ac2 0.2088 0.4441 0.3590
Ac3 0.4441 0.2088 0.8590
Ac4 0.5559 0.7912 0.1410
Ac5 0.7912 0.5559 0.6410
Ac6 0.8212 0.1788 0.2500
Pd1 0.3533 0.6467 0.2500
Pd2 0.6467 0.3533 0.7500
Pb1 0.0087 0.2815 0.9995
Pb2 0.2815 0.0087 0.4995
Pb3 0.7185 0.9913 0.5005
Pb4 0.9913 0.7185 0.0005

=====

Entry 2:
A geometry-optimized Ac2Pd4Pb5 structure. Source: Alexandria via LeMat-Bulk, functional GGA-PBE.

Lattice parameters (Å, degrees): 9.7503 8.1027 7.0979 79.50 54.80 45.71
Fractional positions:
Ac1 0.1581 0.1581 0.8419
Ac2 0.8419 0.8419 0.1581
Pd1 0.2337 0.4579 0.5421
Pd2 0.4579 0.2337 0.7663
Pd3 0.5421 0.7663 0.2337
Pd4 0.7663 0.5421 0.4579
Pb1 0.0000 0.0000 0.5000
Pb2 0.2500 0.2500 0.2500
Pb3 0.5000 0.5000 0.0000
Pb4 0.5000 0.5000 0.5000
Pb5 0.7500 0.7500 0.7500

=====

Entry 3:
A geometry-optimized Ac3PdPb3 structure. Source: Alexandria via LeMat-Bulk, functional GGA-PBE.

Lattice parameters (Å, degrees): 6.5922 6.5922 16.5016 108.73 108.73 43.79
Fractional positions:
Ac1 0.0357 0.0357 0.3853
Ac2 0.0942 0.0942 0.9207
Ac3 0.2494 0.2494 0.2399
Ac4 0.7506 0.7506 0.7601
Ac5 0.9058 0.9058 0.0793
Ac6 0.9643 0.9643 0.6147
Pd1 0.2428 0.2428 0.6166
Pd2 0.7572 0.7572 0.3834
Pb1 0.3532 0.3532 0.4652
Pb2 0.3699 0.3699 0.9224
Pb3 0.4624 0.4624 0.7626
Pb4 0.5376 0.5376 0.2374
Pb5 0.6301 0.6301 0.0776
Pb6 0.6468 0.6468 0.5348

=====

Entry 4:
A geometry-optimized AcPd2Pb4 structure. Source: Alexandria via LeMat-Bulk, functional GGA-PBE.

Lattice parameters (Å, degrees): 9.4664 9.4664 4.6263 90.00 90.00 152.08
Fractional positions:
Ac1 0.0000 0.0000 0.0000
Pd1 0.4278 0.5722 0.5000
Pd2 0.5722 0.4278 0.5000
Pb1 0.1693 0.8307 0.5000
Pb2 0.3251 0.6749 0.0000
Pb3 0.6749 0.3251 0.0000
Pb4 0.8307 0.1693 0.5000

=====

Entry 5:
A geometry-optimized Ac4Pd6Pb5 structure. Source: Alexandria via LeMat-Bulk, functional GGA-PBE.

Lattice parameters (Å, degrees): 11.1484 11.1484 16.7153 90.00 90.00 156.84
Fractional positions:
Ac1 0.0107 0.9893 0.5000
Ac2 0.0416 0.9584 0.2355
Ac3 0.1562 0.8438 0.7199
Ac4 0.1853 0.8147 0.0663
Ac5 0.8147 0.1853 0.5663
Ac6 0.8438 0.1562 0.2199
Ac7 0.9584 0.0416 0.7355
Ac8 0.9893 0.0107 0.0000
Pd1 0.1104 0.8896 0.9015
Pd2 0.2214 0.7786 0.5363
Pd3 0.2448 0.7552 0.2536
Pd4 0.4210 0.5790 0.8849
Pd5 0.4249 0.5751 0.6028
Pd6 0.4514 0.5486 0.1652
Pd7 0.5486 0.4514 0.6652
Pd8 0.5751 0.4249 0.1028
Pd9 0.5790 0.4210 0.3849
Pd10 0.7552 0.2448 0.7536
Pd11 0.7786 0.2214 0.0363
Pd12 0.8896 0.1104 0.4015
Pb1 0.1596 0.8404 0.3884
Pb2 0.3089 0.6911 0.4004
Pb3 0.3309 0.6691 0.7335
Pb4 0.3595 0.6405 0.0448
Pb5 0.4532 0.5468 0.3414
Pb6 0.5468 0.4532 0.8414
Pb7 0.6405 0.3595 0.5448
Pb8 0.6691 0.3309 0.2335
Pb9 0.6911 0.3089 0.9004
Pb10 0.8404 0.1596 0.8884

=====

Entry 6:
A geometry-optimized Ac3Pd5Pb6 structure. Source: Alexandria via LeMat-Bulk, functional GGA-PBE.

Lattice parameters (Å, degrees): 4.7620 14.6480 10.3523 90.00 90.00 90.00
Fractional positions:
Ac1 0.2500 0.0479 0.2494
Ac2 0.2500 0.4521 0.2494
Ac3 0.2500 0.7500 0.2661
Ac4 0.7500 0.2500 0.7339
Ac5 0.7500 0.5479 0.7506
Ac6 0.7500 0.9521 0.7506
Pd1 0.2500 0.0969 0.8615
Pd2 0.2500 0.4031 0.8615
Pd3 0.2500 0.6345 0.5392
Pd4 0.2500 0.7500 0.7849
Pd5 0.2500 0.8655 0.5392
Pd6 0.7500 0.1345 0.4608
Pd7 0.7500 0.2500 0.2151
Pd8 0.7500 0.3655 0.4608
Pd9 0.7500 0.5969 0.1385
Pd10 0.7500 0.9031 0.1385
Pb1 0.2500 0.0747 0.5922
Pb2 0.2500 0.2500 0.0358
Pb3 0.2500 0.2500 0.4058
Pb4 0.2500 0.4253 0.5922
Pb5 0.2500 0.5949 0.9802
Pb6 0.2500 0.9051 0.9802
Pb7 0.7500 0.0949 0.0198
Pb8 0.7500 0.4051 0.0198
Pb9 0.7500 0.5747 0.4078
Pb10 0.7500 0.7500 0.5942
Pb11 0.7500 0.7500 0.9642
Pb12 0.7500 0.9253 0.4078

=====

Entry 7:
A geometry-optimized AcPd6Pb6 structure. Source: Alexandria via LeMat-Bulk, functional GGA-PBE.

Lattice parameters (Å, degrees): 7.6061 7.6061 7.6061 134.21 102.71 94.75
Fractional positions:
Ac1 0.0000 0.0000 0.0000
Pd1 0.0000 0.0000 0.5000
Pd2 0.0000 0.5000 0.0000
Pd3 0.2344 0.5000 0.7344
Pd4 0.5000 0.0000 0.0000
Pd5 0.5000 0.5000 0.5000
Pd6 0.7656 0.5000 0.2656
Pb1 0.1793 0.6793 0.5000
Pb2 0.3414 0.0000 0.3414
Pb3 0.3442 0.3442 0.0000
Pb4 0.6558 0.6558 0.0000
Pb5 0.6586 0.0000 0.6586
Pb6 0.8207 0.3207 0.5000

=====

Entry 8:
A geometry-optimized Ac3Pd8Pb structure. Source: Alexandria via LeMat-Bulk, functional GGA-PBE.

Lattice parameters (Å, degrees): 9.7567 9.7567 9.7567 33.79 33.79 33.79
Fractional positions:
Ac1 0.0000 0.0000 0.0000
Ac2 0.1311 0.1311 0.1311
Ac3 0.6092 0.6092 0.6092
Pd1 0.0542 0.5615 0.5615
Pd2 0.0597 0.0597 0.5661
Pd3 0.0597 0.5661 0.0597
Pd4 0.3106 0.3106 0.3106
Pd5 0.5615 0.0542 0.5615
Pd6 0.5615 0.5615 0.0542
Pd7 0.5661 0.0597 0.0597
Pd8 0.8110 0.8110 0.8110
Pb1 0.4823 0.4823 0.4823

=====

Entry 9:
A geometry-optimized AcPdPb structure. Source: Alexandria via LeMat-Bulk, functional GGA-PBE.

Lattice parameters (Å, degrees): 5.0486 5.0486 5.0486 60.00 60.00 60.00
Fractional positions:
Ac1 0.0000 0.0000 0.0000
Pd1 0.7500 0.7500 0.7500
Pb1 0.5000 0.5000 0.5000

=====

Entry 10:
A geometry-optimized Ac12PdPb6 structure. Source: Alexandria via LeMat-Bulk, functional GGA-PBE.

Lattice parameters (Å, degrees): 9.4992 9.4992 9.4992 99.36 99.36 99.36
Fractional positions:
Ac1 0.0075 0.9414 0.6804
Ac2 0.0586 0.3196 0.9925
Ac3 0.1926 0.5585 0.4239
Ac4 0.3196 0.9925 0.0586
Ac5 0.4239 0.1925 0.5585
Ac6 0.4415 0.5761 0.8074
Ac7 0.5585 0.4239 0.1926
Ac8 0.5761 0.8074 0.4415
Ac9 0.6804 0.0075 0.9414
Ac10 0.8074 0.4415 0.5761
Ac11 0.9414 0.6804 0.0075
Ac12 0.9925 0.0586 0.3196
Pd1 0.0000 0.0000 0.0000
Pb1 0.1225 0.3123 0.6483
Pb2 0.3123 0.6483 0.1225
Pb3 0.3517 0.8775 0.6877
Pb4 0.6483 0.1225 0.3123
Pb5 0.6877 0.3517 0.8775
Pb6 0.8775 0.6877 0.3517

=====

Entry 11:
A geometry-optimized Ac2PdPb structure. Source: Alexandria via LeMat-Bulk, functional GGA-PBE.

Lattice parameters (Å, degrees): 9.0805 9.0805 9.0805 27.58 27.58 27.58
Fractional positions:
Ac1 0.2363 0.2363 0.2363
Ac2 0.7637 0.7637 0.7637
Pd1 0.5000 0.5000 0.5000
Pb1 0.0000 0.0000 0.0000

=====

Entry 12:
A geometry-optimized AcPd2Pb8 structure. Source: Alexandria via LeMat-Bulk, functional GGA-PBE.

Lattice parameters (Å, degrees): 8.1427 8.1427 5.3100 95.53 95.53 112.01
Fractional positions:
Ac1 0.0000 0.0000 0.0000
Pd1 0.3277 0.6723 0.5000
Pd2 0.6723 0.3277 0.5000
Pb1 0.0647 0.3390 0.5968
Pb2 0.2596 0.7404 0.0000
Pb3 0.3390 0.0647 0.5968
Pb4 0.3847 0.3847 0.1952
Pb5 0.6153 0.6153 0.8048
Pb6 0.6610 0.9353 0.4032
Pb7 0.7404 0.2596 0.0000
Pb8 0.9353 0.6610 0.4032

=====

Entry 13:
A geometry-optimized AcPd4Pb4 structure. Source: Alexandria via LeMat-Bulk, functional GGA-PBE.

Lattice parameters (Å, degrees): 6.6292 6.6292 9.8427 90.00 90.00 90.00
Fractional positions:
Ac1 0.2500 0.7500 0.2500
Ac2 0.7500 0.2500 0.7500
Pd1 0.0419 0.2500 0.1714
Pd2 0.2500 0.0419 0.6714
Pd3 0.2500 0.4581 0.6714
Pd4 0.4581 0.2500 0.1714
Pd5 0.5419 0.7500 0.8286
Pd6 0.7500 0.5419 0.3286
Pd7 0.7500 0.9581 0.3286
Pd8 0.9581 0.7500 0.8286
Pb1 0.0154 0.2500 0.4482
Pb2 0.2500 0.0154 0.9482
Pb3 0.2500 0.4846 0.9482
Pb4 0.4846 0.2500 0.4482
Pb5 0.5154 0.7500 0.5518
Pb6 0.7500 0.5154 0.0518
Pb7 0.7500 0.9846 0.0518
Pb8 0.9846 0.7500 0.5518

=====

Entry 14:
A geometry-optimized AcPd6Pb4 structure. Source: Alexandria via LeMat-Bulk, functional GGA-PBE.

Lattice parameters (Å, degrees): 7.1786 7.1786 7.1786 121.73 121.73 87.04
Fractional positions:
Ac1 0.0000 0.0000 0.0000
Pd1 0.0000 0.5000 0.5000
Pd2 0.2446 0.2446 0.6631
Pd3 0.4185 0.7554 0.0000
Pd4 0.5000 0.0000 0.5000
Pd5 0.5815 0.5815 0.3369
Pd6 0.7554 0.4185 0.0000
Pb1 0.1143 0.5179 0.0000
Pb2 0.4821 0.4821 0.5965
Pb3 0.5179 0.1143 0.0000
Pb4 0.8857 0.8857 0.4035

=====

Entry 15:
A geometry-optimized Ac2Pd15Pb2 structure. Source: Alexandria via LeMat-Bulk, functional GGA-PBE.

Lattice parameters (Å, degrees): 7.1772 7.1772 7.1772 82.07 82.07 82.07
Fractional positions:
Ac1 0.1466 0.1466 0.1466
Ac2 0.8534 0.8534 0.8534
Pd1 0.0000 0.5000 0.5000
Pd2 0.1514 0.1514 0.6600
Pd3 0.1514 0.6600 0.1514
Pd4 0.1930 0.5000 0.8070
Pd5 0.1930 0.8070 0.5000
Pd6 0.3400 0.8486 0.8486
Pd7 0.5000 0.0000 0.5000
Pd8 0.5000 0.1930 0.8070
Pd9 0.5000 0.5000 0.0000
Pd10 0.5000 0.8070 0.1930
Pd11 0.6600 0.1514 0.1514
Pd12 0.8070 0.1930 0.5000
Pd13 0.8070 0.5000 0.1930
Pd14 0.8486 0.3400 0.8486
Pd15 0.8486 0.8486 0.3400
Pb1 0.3935 0.3935 0.3935
Pb2 0.6065 0.6065 0.6065

=====

Entry 16:
A geometry-optimized AcPdPb2 structure. Source: Alexandria via LeMat-Bulk, functional GGA-PBE.

Lattice parameters (Å, degrees): 9.6527 9.6527 10.1800 90.00 90.00 151.19
Fractional positions:
Ac1 0.0000 0.0000 0.0000
Ac2 0.0000 0.0000 0.5000
Ac3 0.1962 0.8038 0.7500
Ac4 0.8038 0.1962 0.2500
Pd1 0.3576 0.6424 0.0151
Pd2 0.3576 0.6424 0.4849
Pd3 0.6424 0.3576 0.5151
Pd4 0.6424 0.3576 0.9849
Pb1 0.1974 0.8026 0.0897
Pb2 0.1974 0.8026 0.4103
Pb3 0.4044 0.5956 0.7500
Pb4 0.4346 0.5654 0.2500
Pb5 0.5654 0.4346 0.7500
Pb6 0.5956 0.4044 0.2500
Pb7 0.8026 0.1974 0.5897
Pb8 0.8026 0.1974 0.9103

=====

Entry 17:
A geometry-optimized AcPd9Pb2 structure. Source: Alexandria via LeMat-Bulk, functional GGA-PBE.

Lattice parameters (Å, degrees): 4.2016 4.2016 12.4216 90.00 90.00 90.00
Fractional positions:
Ac1 0.0000 0.0000 0.0000
Pd1 0.0000 0.5000 0.1785
Pd2 0.0000 0.5000 0.5000
Pd3 0.0000 0.5000 0.8215
Pd4 0.5000 0.0000 0.1785
Pd5 0.5000 0.0000 0.5000
Pd6 0.5000 0.0000 0.8215
Pd7 0.5000 0.5000 0.0000
Pd8 0.5000 0.5000 0.3400
Pd9 0.5000 0.5000 0.6600
Pb1 0.0000 0.0000 0.3387
Pb2 0.0000 0.0000 0.6613

=====

Entry 18:
A geometry-optimized Ac3Pd3Pb2 structure. Source: Alexandria via LeMat-Bulk, functional GGA-PBE.

Lattice parameters (Å, degrees): 6.6985 6.6985 15.2750 90.00 90.00 139.14
Fractional positions:
Ac1 0.0754 0.9246 0.6097
Ac2 0.0754 0.9246 0.8903
Ac3 0.3740 0.6260 0.7500
Ac4 0.6260 0.3740 0.2500
Ac5 0.9246 0.0754 0.1097
Ac6 0.9246 0.0754 0.3903
Pd1 0.3570 0.6430 0.2500
Pd2 0.3986 0.6014 0.5414
Pd3 0.3986 0.6014 0.9586
Pd4 0.6014 0.3986 0.0414
Pd5 0.6014 0.3986 0.4586
Pd6 0.6430 0.3570 0.7500
Pb1 0.2173 0.7827 0.0922
Pb2 0.2173 0.7827 0.4078
Pb3 0.7827 0.2173 0.5922
Pb4 0.7827 0.2173 0.9078

=====

Entry 19:
A geometry-optimized AcPdPb2 structure. Source: Alexandria via LeMat-Bulk, functional GGA-PBE.

Lattice parameters (Å, degrees): 10.8932 10.8932 10.8932 154.18 124.80 61.91
Fractional positions:
Ac1 0.2056 0.2056 0.0000
Ac2 0.2358 0.0000 0.2358
Ac3 0.7642 0.0000 0.7642
Ac4 0.7944 0.7944 0.0000
Pd1 0.0984 0.3543 0.7442
Pd2 0.3899 0.6457 0.7442
Pd3 0.6101 0.3543 0.2558
Pd4 0.9016 0.6457 0.2558
Pb1 0.0786 0.5786 0.5000
Pb2 0.1470 0.8060 0.3410
Pb3 0.4174 0.4174 0.0000
Pb4 0.4650 0.8060 0.6590
Pb5 0.5350 0.1940 0.3410
Pb6 0.5826 0.5826 0.0000
Pb7 0.8530 0.1940 0.6590
Pb8 0.9214 0.4214 0.5000

=====

Number 1: energy relative to the elements -0.51 eV per atom. Number 2: energy relative to the elements -0.42 eV per atom. Number 3: energy relative to the elements -0.59 eV per atom. Number 4: energy relative to the elements -0.28 eV per atom. Number 5: energy relative to the elements -0.58 eV per atom. Number 6: energy relative to the elements -0.51 eV per atom. Number 7: energy relative to the elements -0.33 eV per atom. Number 8: energy relative to the elements -0.68 eV per atom. Number 9: energy relative to the elements -0.63 eV per atom. Number 10: energy relative to the elements -0.31 eV per atom. Number 11: energy relative to the elements -0.54 eV per atom. Number 12: energy relative to the elements -0.17 eV per atom. Number 13: energy relative to the elements -0.32 eV per atom. Number 14: energy relative to the elements -0.32 eV per atom. Number 15: energy relative to the elements -0.39 eV per atom. Number 16: energy relative to the elements -0.53 eV per atom. Number 17: energy relative to the elements -0.42 eV per atom. Number 18: energy relative to the elements -0.65 eV per atom. Number 19: energy relative to the elements -0.53 eV per atom.